[1]
Material: Cd2PRu
Method: DFT, PBE
State: optimized geometry

- space-group type = R3m
- spin magnetization (μB per atom) = 0.000
- calculated formation energy (eV/atom) = -0.102
- final energy (eV/atom) = -4.231

```
4
Lattice="9.2597 -1.5294 0.0187 9.2597 1.5294 0.0187 9.0017 0.0000 2.6551" Properties=species:S:1:pos:R:3 pbc="T T T"
Cd 27.2020 0.0000 2.6612
Cd 20.8006 0.0000 2.0349
P 14.2580 0.0000 1.3949
Ru 6.5421 0.0000 0.6400
```

***

[2]
Material: Cd2PRu
Method: DFT, PBE
State: optimized geometry

- space-group type = R-3m
- spin magnetization (μB per atom) = 0.120
- calculated formation energy (eV/atom) = 0.477
- final energy (eV/atom) = -3.652

```
4
Lattice="-8.7277 3.1111 1.5583 -9.3755 0.4076 0.4622 -8.7422 0.7306 3.3647" Properties=species:S:1:pos:R:3 pbc="T T T"
Cd -20.0817 3.1787 4.0284
Cd -6.7637 1.0706 1.3568
P -13.4227 2.1247 2.6926
Ru 0.0000 0.0000 0.0000
```

***

[3]
Material: CdPRu
Method: DFT, PBE
State: optimized geometry

- space-group type = I4mm
- spin magnetization (μB per atom) = 0.000
- calculated formation energy (eV/atom) = -0.173
- final energy (eV/atom) = -5.373

```
3
Lattice="-5.4474 0.1747 1.7710 -4.2501 3.8420 -0.1291 4.2061 -2.7830 -2.7210" Properties=species:S:1:pos:R:3 pbc="T T T"
Cd -0.0347 0.0144 0.0059
P -2.8879 1.1962 0.4890
Ru -6.7749 2.8061 1.1471
```

***

[4]
Material: Cd2PRu
Method: DFT, PBE
State: optimized geometry

- space-group type = Cmmm
- spin magnetization (μB per atom) = 0.360
- calculated formation energy (eV/atom) = 0.472
- final energy (eV/atom) = -3.657

```
4
Lattice="-1.3326 2.5331 -0.6132 0.0946 -0.6333 -2.8563 -7.5966 -3.8507 0.6020" Properties=species:S:1:pos:R:3 pbc="T T T"
Cd -1.7974 -0.9111 0.1424
Cd -5.7992 -2.9396 0.4596
P -4.4173 -0.9754 -1.4338
Ru -0.6190 0.9499 -1.7348
```